[1]
Computed, not measured: a relaxed In12Ga3Bi5 crystal at the PBE-GGA level of DFT.

Summary:
- energy (eV/atom) = -2.941
- space-group type = Ia-3d (230)
- energy relative to the elements (kJ per mole of atoms) = 12
- size of the total moment (μB/atom) = 0.00

The structure in POSCAR format:
```
In12Ga3Bi5
1.0
-7.138 12.466 -4.697
-8.915 -12.016 -2.134
3.268 1.302 14.698
Ga Bi In
12 20 48
Cartesian
-8.288 5.006 -2.486
-12.523 2.058 -3.873
-7.320 -3.524 5.825
-1.673 2.103 4.071
-6.543 9.731 -0.702
-7.431 -2.510 0.580
-5.353 4.261 7.288
-6.242 -7.979 8.569
-11.111 -0.351 3.796
-5.464 5.275 2.043
-0.261 -0.307 11.740
-4.497 -3.254 10.353
-3.418 -2.622 2.287
-4.457 -6.008 -1.067
0.000 0.000 0.000
-4.497 1.833 -0.458
-1.935 6.884 5.000
-8.026 0.225 -3.415
-6.353 -6.965 3.324
-3.608 8.986 9.071
-9.699 2.328 0.655
-1.340 4.149 8.995
-11.444 -2.397 -1.128
-6.392 0.876 3.934
-3.569 6.233 -2.349
1.634 0.651 7.349
-3.085 -0.576 7.212
-9.176 -7.235 -1.204
-2.823 -5.357 6.282
-6.432 8.717 4.543
-8.288 -0.082 8.325
-9.366 4.374 5.580
-6.273 7.703 -2.688
-6.059 -2.189 3.643
-9.004 7.513 -1.332
-5.808 4.427 -1.203
-8.752 -0.501 5.391
-11.076 5.000 -3.082
-7.838 -4.454 2.625
-7.977 -9.792 -0.193
-10.087 -3.242 5.198
-10.143 2.196 -2.309
-8.020 4.804 0.870
-14.053 -0.794 -4.819
-5.715 -6.464 6.212
-6.148 -0.590 -1.092
-7.920 -9.478 2.845
-2.198 4.010 6.124
-1.457 -0.390 2.704
-8.789 -2.635 -2.505
-13.072 -0.043 -2.025
-4.290 -2.957 -0.564
-8.370 -5.611 7.459
-8.402 -0.123 1.801
-12.232 2.434 2.260
-5.447 6.623 8.882
-4.382 1.875 6.067
-0.552 -0.682 5.607
-7.337 -4.872 -1.015
0.288 1.794 9.893
-4.415 7.362 0.408
-8.494 4.709 8.431
-3.995 4.386 10.372
-10.586 -2.258 1.743
-11.327 2.142 5.163
-4.864 11.230 5.022
-7.070 8.215 1.655
1.269 2.546 12.686
-6.637 2.342 8.960
-2.697 4.994 2.669
-2.641 -0.444 10.176
-4.764 -3.053 6.997
-4.808 11.544 8.061
-4.947 6.206 5.242
-6.976 -2.675 9.070
-1.708 -3.248 10.949
-4.032 2.253 2.476
-3.780 -5.761 9.199
-6.725 3.941 4.224
-6.511 -5.951 10.555
```


[2]
Computed, not measured: a relaxed Th12MgIn3 crystal at the PBE-GGA level of DFT.

Summary:
- energy (eV/atom) = -6.274
- space-group type = P4/mmm (123)
- energy relative to the elements (kJ per mole of atoms) = -9
- size of the total moment (μB/atom) = 0.00

The structure in POSCAR format:
```
Th12MgIn3
1.0
4.949 0.000 0.000
0.000 4.949 0.000
0.000 0.000 19.890
Th Mg In
12 1 3
Cartesian
2.474 2.474 0.000
2.474 2.474 4.963
2.474 2.474 9.945
2.474 2.474 14.927
2.474 0.000 2.497
2.474 0.000 7.462
2.474 0.000 12.428
2.474 0.000 17.392
0.000 2.474 2.497
0.000 2.474 7.462
0.000 2.474 12.428
0.000 2.474 17.392
0.000 0.000 0.000
0.000 0.000 4.982
0.000 0.000 9.945
0.000 0.000 14.908
```


[3]
Computed, not measured: a relaxed MnSnPd2 crystal at the PBE-GGA level of DFT.

Summary:
- energy (eV/atom) = -6.193
- space-group type = P4/mmm (123)
- energy relative to the elements (kJ per mole of atoms) = -29
- size of the total moment (μB/atom) = 1.06

The structure in POSCAR format:
```
MnSnPd2
1.0
3.341 0.000 0.000
0.000 3.341 0.000
0.000 0.000 6.053
Mn Sn Pd
1 1 2
Cartesian
1.671 1.671 0.000
1.671 1.671 3.027
0.000 0.000 4.615
0.000 0.000 1.438
```


[4]
Computed, not measured: a relaxed CaNdEr2 crystal at the PBE-GGA level of DFT.

Summary:
- relative energy among the computed polymorphs (eV/atom) = 0.0564
- energy (eV/atom) = -3.848
- space-group type = P4/mmm (123)
- energy relative to the elements (kJ per mole of atoms) = 12
- size of the total moment (μB/atom) = 0.00

The structure in POSCAR format:
```
CaNdEr2
1.0
-2.499 4.530 -0.063
-3.635 -1.964 2.975
2.581 1.481 4.132
Ca Nd Er
1 1 2
Cartesian
-1.777 2.023 3.522
-1.249 2.265 -0.031
1.290 0.740 2.066
-1.818 -0.982 1.487
```


[5]
Computed, not measured: a relaxed Ac2BeSi4Ir3 crystal at the PBE-GGA level of DFT.

Summary:
- energy (eV/atom) = -6.764
- space-group type = P-4m2 (115)
- size of the total moment (μB/atom) = 0.00
- formation energy (no corrections) (meV/atom) = -743

The structure in POSCAR format:
```
Ac2BeSi4Ir3
1.0
-2.652 2.383 -2.392
-1.945 -3.564 -1.394
-6.449 0.520 7.666
Ac Be Si Ir
2 1 4 3
Cartesian
-2.949 1.322 0.733
-5.798 -1.393 5.039
-5.523 -0.331 1.939
-2.298 -0.591 -1.893
0.000 0.000 0.000
-5.362 1.517 3.602
-3.385 -1.588 2.170
-3.224 0.260 3.833
-6.984 1.647 5.529
-1.763 -1.718 0.243
```


[6]
Computed, not measured: a relaxed PPdPtCl2 crystal at the PBE-GGA level of DFT.

Summary:
- relative energy among the computed polymorphs (eV/atom) = 0.2709
- energy (eV/atom) = -3.305
- space-group type = P4/mmm (123)
- size of the total moment (μB/atom) = 0.18
- formation energy (no corrections) (meV/atom) = 763

The structure in POSCAR format:
```
PPdPtCl2
1.0
-2.320 3.503 2.201
-2.816 -3.186 2.102
3.034 -0.279 3.641
P Pd Pt Cl
1 1 1 2
Cartesian
1.517 -0.139 1.820
0.000 0.000 0.000
-1.051 0.019 3.972
-1.408 -1.593 1.051
-1.160 1.751 1.101
```